1.
The following is a DFT calculation (PBE-GGA) of crystalline Dy2Y4TmNi2Te2 at its relaxed geometry.

crystal system	orthorhombic
E above lowest polymorph	4	meV per atom

abc: 9.3689 9.3689 9.3689
angles: 156.33 67.10 118.25
Last column: nearest neighbours and their distance in Å.
Atoms (fractional coordinates):
Dy 0.1462 0.0000 0.1462  2 Ni 2.80
Dy 0.8538 0.0000 0.8538  2 Ni 2.80
Y 0.1633 0.3472 0.8160  2 Ni 2.81
Y 0.5145 0.1455 0.3690  2 Ni 2.82, 1 Te 3.14
Y 0.5312 0.3472 0.1840  2 Ni 2.81
Y 0.7766 0.1455 0.6310  2 Ni 2.82, 1 Te 3.14
Tm 0.2266 0.7266 0.5000  3 Te 3.18-3.21
Ni 0.3899 0.6527 0.7371  2 Dy 2.80, 4 Y 2.81-2.82
Ni 0.9156 0.6527 0.2629  2 Dy 2.80, 4 Y 2.81-2.82
Te 0.4895 0.4895 0.0000  2 Tm 3.18, 6 Y 3.18
Te 0.8926 0.3926 0.5000  2 Y 3.14, 4 Dy 3.16, 1 Tm 3.21

=====

2.
The following is a DFT calculation (PBE-GGA) of crystalline Hg3Au2 at its relaxed geometry.

crystal system	tetragonal
DFT formation energy	0.070	eV/atom

abc: 7.4885 7.4885 3.9082
angles: 90.00 90.00 90.00
Last column: nearest neighbours and their distance in Å.
Atoms (fractional coordinates):
Hg 0.0000 0.0000 0.0000  4 Au 2.90
Hg 0.1635 0.3365 0.5000  6 Au 2.87-2.99
Hg 0.3365 0.8365 0.5000  6 Au 2.87-2.99
Hg 0.5000 0.5000 0.0000  4 Au 2.90
Hg 0.6635 0.1635 0.5000  6 Au 2.87-2.99
Hg 0.8365 0.6635 0.5000  6 Au 2.87-2.99
Au 0.1374 0.6374 0.0000  8 Hg 2.87-2.99, 1 Au 2.91
Au 0.3626 0.1374 0.0000  8 Hg 2.87-2.99, 1 Au 2.91
Au 0.6374 0.8626 0.0000  8 Hg 2.87-2.99, 1 Au 2.91
Au 0.8626 0.3626 0.0000  8 Hg 2.87-2.99, 1 Au 2.91

=====

3.
The following is a DFT calculation (PBE-GGA) of crystalline KErHgSe3 at its relaxed geometry.

crystal system	monoclinic

abc: 8.4782 4.2332 10.6273
angles: 90.00 108.31 90.00
Last column: nearest neighbours and their distance in Å.
Atoms (fractional coordinates):
K 0.2489 0.2500 0.2259  6 Se 3.32-3.70
K 0.7511 0.7500 0.7741  6 Se 3.32-3.70
Er 0.1794 0.7500 0.6346  6 Se 2.78-3.11
Er 0.8206 0.2500 0.3654  6 Se 2.78-3.11
Hg 0.4125 0.2500 0.8852  3 Se 2.61-2.72
Hg 0.5875 0.7500 0.1148  3 Se 2.61-2.72
Se 0.0451 0.7500 0.3601  3 Er 2.78-2.86
Se 0.2421 0.7500 0.9390  3 Hg 2.72-2.94
Se 0.4179 0.2500 0.6406  1 Hg 2.61, 2 Er 2.91
Se 0.5821 0.7500 0.3594  1 Hg 2.61, 2 Er 2.91
Se 0.7579 0.2500 0.0610  3 Hg 2.72-2.94
Se 0.9549 0.2500 0.6399  3 Er 2.78-2.86

=====

4.
The following is a DFT calculation (PBE-GGA) of crystalline Gd2Pd2O5 at its relaxed geometry.

crystal system	tetragonal

abc: 4.0099 4.0099 6.8957
angles: 90.00 90.00 90.00
Last column: nearest neighbours and their distance in Å.
Atoms (fractional coordinates):
Gd 0.0000 0.0000 0.0000  8 O 2.55
Gd 0.0000 0.0000 0.5000  12 O 2.75-2.84
Pd 0.5000 0.5000 0.1915  5 O 2.02-2.13
Pd 0.5000 0.5000 0.8085  5 O 2.02-2.13
O 0.0000 0.5000 0.2274  2 Pd 2.02
O 0.0000 0.5000 0.7726  2 Pd 2.02
O 0.5000 0.0000 0.2274  2 Pd 2.02
O 0.5000 0.0000 0.7726  2 Pd 2.02
O 0.5000 0.5000 0.5000  2 Pd 2.13

=====

5.
The following is a DFT calculation (PBE-GGA) of crystalline PrSiB4 at its relaxed geometry.

crystal system	hexagonal
E above lowest polymorph	43	meV per atom

abc: 3.0994 3.0994 7.7700
angles: 90.00 90.00 120.00
Last column: nearest neighbours and their distance in Å.
Atoms (fractional coordinates):
Pr 0.0000 0.0000 0.0000  12 B 2.89, 6 Pr 3.10
Si 0.0000 0.0000 0.5000  12 B 2.41
B 0.3333 0.6667 0.2925  3 B 1.79
B 0.3333 0.6667 0.7075  3 B 1.79
B 0.6667 0.3333 0.2925  3 B 1.79
B 0.6667 0.3333 0.7075  3 B 1.79

=====

6.
The following is a DFT calculation (PBE-GGA) of crystalline Cu7Ag3 at its relaxed geometry.

crystal system	monoclinic
DFT formation energy	0.087	eV/atom
E above lowest polymorph	42	meV per atom

abc: 7.0783 7.0783 5.4185
angles: 100.51 100.51 30.81
Last column: nearest neighbours and their distance in Å.
Atoms (fractional coordinates):
Cu 0.0000 0.0000 0.0000  7 Cu 2.52-2.68, 4 Ag 2.72-2.74
Cu 0.0021 0.0021 0.4654  6 Cu 2.52-2.64, 5 Ag 2.74-2.78
Cu 0.1953 0.1953 0.5737  7 Cu 2.59-2.75, 5 Ag 2.64-2.74
Cu 0.1986 0.1986 0.0792  4 Ag 2.64-2.65, 8 Cu 2.66-2.74
Cu 0.4032 0.4032 0.1798  8 Cu 2.56-2.74, 4 Ag 2.65-2.77
Cu 0.5944 0.5944 0.2777  9 Cu 2.56-2.70, 3 Ag 2.68-2.72
Cu 0.8005 0.8005 0.8880  5 Ag 2.63-2.79, 7 Cu 2.66-2.75
Ag 0.3996 0.3996 0.6886  9 Cu 2.65-2.77, 3 Ag 2.73-2.76
Ag 0.6031 0.6031 0.7837  11 Cu 2.64-2.74, 1 Ag 2.73
Ag 0.7946 0.7946 0.3698  10 Cu 2.63-2.79, 2 Ag 2.76

=====

Across the entries above, DFT total energy takes the values -64.33; -14.16; -47.03; -59.86; -36.08; -33.62 eV per cell, respectively.